(1)
SrYH3 | PBE | optimized geometry

```
SrYH3
1.0
4.380 0.000 0.000
0.000 4.380 0.000
0.000 0.000 4.380
H Y Sr
3 1 1
direct
0.000 0.500 0.000
0.000 0.000 0.500
0.500 0.000 0.000
0.500 0.500 0.500
0.000 0.000 0.000
```

As for the crystal system: cubic. The value obtained for the total energy is -3.562 eV per atom.



(2)
SiSbMoI2 | PBE | optimized geometry

```
SiSbMoI2
1.0
-3.915 3.612 -1.477
-0.129 -2.211 -5.065
-3.771 -3.434 1.595
Mo I Si Sb
1 2 1 1
direct
0.000 0.000 0.000
0.500 0.000 0.000
0.000 0.500 0.000
0.500 0.500 0.500
0.000 0.000 0.500
```

As for the crystal system: tetragonal. Its uncorrected formation energy is 0.956 eV/atom. The value obtained for the total energy is -3.740 eV per atom.



(3)
CuAg2Br | PBE | optimized geometry

```
CuAg2Br
1.0
4.759 0.000 0.000
2.379 4.121 0.000
2.379 1.374 3.886
Ag Br Cu
2 1 1
direct
0.000 0.000 0.000
0.250 0.250 0.250
0.500 0.500 0.500
0.750 0.750 0.750
```

As for the crystal system: cubic. Its uncorrected formation energy is 0.360 eV/atom. The value obtained for the total energy is -2.508 eV per atom.



(4)
In2SnBr | PBE | optimized geometry

```
In2SnBr
1.0
-0.281 -5.349 0.768
-3.706 -2.059 3.363
-4.188 -2.801 -1.975
In Sn Br
2 1 1
direct
0.750 0.750 0.750
0.250 0.250 0.250
0.500 0.500 0.500
0.000 0.000 0.000
```

As for the crystal system: cubic. Its uncorrected formation energy is -0.091 eV/atom. The value obtained for the total energy is -2.879 eV per atom.



no.,spin magnetization (μB/atom)
1,0.0022
2,0.6134
3,0.0000
4,0.0000